No. 1
PBE ErTh2Ir2, relaxed; DFT formation energy = -0.832 eV/atom; symmetry = P4/mbm; VASP energy = -8.26 eV per atom
1.0
-1.244 3.056 -2.178
-5.484 -4.541 -3.241
-5.007 2.001 5.667
Er Th Ir
2 4 4
Cartesian
0.000 0.000 0.000
-5.245 -1.270 1.213
-4.861 2.109 2.146
-8.450 0.176 1.484
-6.873 -1.592 -1.898
-3.285 0.340 -1.236
-6.293 0.083 3.710
-7.921 -2.633 0.829
-4.197 -2.623 -1.284
-2.570 0.093 1.598


No. 2
PBE Er3ThIr8, relaxed; DFT formation energy = -0.809 eV/atom; symmetry = P3m1; VASP energy = -8.48 eV per atom
1.0
5.381 0.000 0.000
-2.691 4.660 0.000
0.000 0.000 8.728
Er Th Ir
3 1 8
Cartesian
2.691 1.553 3.711
2.691 1.553 0.563
0.000 0.000 8.199
0.000 0.000 4.981
0.000 3.107 4.354
0.000 3.107 0.003
2.691 0.034 6.566
1.375 2.313 6.566
4.006 2.313 6.566
0.000 1.523 2.165
-1.372 3.899 2.165
1.372 3.899 2.165


No. 3
PBE ErThIr2, relaxed; DFT formation energy = -0.931 eV/atom; symmetry = Amm2; VASP energy = -8.36 eV per atom; E above lowest polymorph = 0 meV per atom
1.0
-2.735 -2.356 1.413
2.455 -0.829 3.369
-0.846 5.329 1.928
Er Th Ir
1 1 2
Cartesian
-0.344 0.807 3.130
-2.821 3.561 2.931
0.011 3.883 3.628
-3.152 0.446 2.406


No. 4
PBE Er5ThIr4, relaxed; DFT formation energy = -0.758 eV/atom; symmetry = C2/m; VASP energy = -7.33 eV per atom
1.0
-2.118 2.591 -2.555
-5.847 -0.188 4.656
7.003 5.241 2.981
Er Th Ir
5 1 4
Cartesian
-0.561 5.536 2.610
2.458 5.635 0.208
-3.421 2.009 4.873
-3.982 1.202 1.050
-0.401 2.109 2.471
-1.059 1.296 -1.277
-1.100 3.801 4.767
0.566 7.691 3.862
0.138 3.843 0.314
-1.528 -0.047 1.220


No. 5
PBE ErThIr, relaxed; DFT formation energy = -0.612 eV/atom; symmetry = F-43m; VASP energy = -7.56 eV per atom; E above lowest polymorph = 17 meV per atom
1.0
4.889 0.000 0.000
2.445 4.234 0.000
2.445 1.411 3.992
Ir Th Er
1 1 1
Cartesian
2.445 1.411 0.998
4.889 2.823 1.996
0.000 0.000 0.000


No. 6
PBE ErThIr2, relaxed; DFT formation energy = -0.812 eV/atom; symmetry = Fm-3m; VASP energy = -8.24 eV per atom; E above lowest polymorph = 120 meV per atom
1.0
-0.360 4.415 2.221
-4.042 1.124 2.638
0.273 0.319 4.938
Ir Th Er
2 1 1
Cartesian
-1.032 1.465 2.449
-3.097 4.394 7.347
0.000 0.000 0.000
-2.064 2.929 4.898


No. 7
PBE ErThIr2, relaxed; DFT formation energy = -0.821 eV/atom; symmetry = P4/mmm; VASP energy = -8.25 eV per atom; E above lowest polymorph = 111 meV per atom
1.0
3.512 0.000 0.000
0.000 4.939 0.000
0.000 0.000 4.939
Ir Th Er
2 1 1
Cartesian
0.000 0.000 2.470
0.000 2.470 0.000
1.756 2.470 2.470
1.756 0.000 0.000


No. 8
PBE ErTiIr, relaxed; DFT formation energy = -0.720 eV/atom; symmetry = P4/nmm; VASP energy = -7.83 eV per atom
1.0
-2.812 2.966 1.465
-0.350 -2.179 3.739
4.994 3.496 2.505
Ir Er Ti
2 2 2
Cartesian
2.122 3.953 2.503
1.291 -0.063 2.605
-0.692 1.983 1.091
4.105 1.907 4.017
0.916 2.142 3.855
2.497 1.748 1.253


No. 9
PBE ErTiIr2, relaxed; DFT formation energy = -0.709 eV/atom; symmetry = Fm-3m; VASP energy = -8.25 eV per atom; E above lowest polymorph = 128 meV per atom
1.0
4.611 0.000 0.000
2.305 3.993 0.000
2.305 1.331 3.765
Ir Ti Er
2 1 1
Cartesian
2.305 1.331 0.941
6.916 3.993 2.823
4.611 2.662 1.882
0.000 0.000 0.000


No. 10
PBE ErTiIr2, relaxed; DFT formation energy = -0.837 eV/atom; symmetry = P4/mmm; VASP energy = -8.38 eV per atom; E above lowest polymorph = 0 meV per atom
1.0
3.092 0.000 0.000
0.000 3.092 0.000
0.000 0.000 7.210
Ir Ti Er
2 1 1
Cartesian
0.000 0.000 5.672
0.000 0.000 1.538
1.546 1.546 0.000
1.546 1.546 3.605


No. 11
PBE ErTi2Ir3, relaxed; DFT formation energy = -0.845 eV/atom; symmetry = P4/mmm; VASP energy = -8.67 eV per atom
1.0
3.058 0.000 0.000
0.000 3.058 0.000
0.000 0.000 10.607
Er Ti Ir
1 2 3
Cartesian
1.529 1.529 5.304
1.529 1.529 8.939
1.529 1.529 1.668
0.000 0.000 0.000
0.000 0.000 7.456
0.000 0.000 3.151


No. 12
PBE ErTiZnIr, relaxed; DFT formation energy = -0.457 eV/atom; symmetry = F-43m; VASP energy = -6.11 eV per atom
1.0
4.665 0.000 0.000
2.332 4.040 0.000
2.332 1.347 3.809
Zn Ir Ti Er
1 1 1 1
Cartesian
2.332 1.347 0.952
6.997 4.040 2.857
4.665 2.693 1.904
0.000 0.000 0.000


No. 13
PBE Er2TlIr, relaxed; DFT formation energy = -0.533 eV/atom; symmetry = R3m; VASP energy = -5.62 eV per atom; E above lowest polymorph = 104 meV per atom
1.0
4.004 0.000 0.000
2.002 3.468 0.000
2.002 1.156 7.842
Er Tl Ir
2 1 1
Cartesian
2.002 1.156 6.362
2.002 1.156 1.479
4.004 2.312 3.904
4.004 2.312 0.017


No. 14
PBE Er2TlIr, relaxed; DFT formation energy = -0.513 eV/atom; symmetry = Fm-3m; VASP energy = -5.60 eV per atom; E above lowest polymorph = 124 meV per atom
1.0
-3.218 -2.228 -3.197
0.352 -4.962 -0.889
-3.545 -3.141 1.763
Tl Ir Er
1 1 2
Cartesian
0.000 0.000 0.000
-3.205 -5.166 -1.162
-1.603 -2.583 -0.581
-4.808 -7.748 -1.743


No. 15
PBE Er6TlIr2, relaxed; DFT formation energy = -0.602 eV/atom; symmetry = Immm; VASP energy = -5.88 eV per atom
1.0
8.449 -0.064 -0.166
-3.261 7.795 0.166
-2.922 -3.646 7.042
Er Tl Ir
12 2 4
Cartesian
-0.230 2.545 5.788
2.497 1.541 1.255
-2.442 -0.751 5.788
4.709 4.837 1.255
2.597 3.864 3.894
-0.330 0.222 3.148
-3.559 2.389 6.913
5.826 1.697 0.129
2.719 0.330 4.652
-0.452 3.756 2.390
-2.535 5.154 4.818
4.802 -1.068 2.224
-3.091 2.075 3.604
0.000 0.000 0.000
0.486 -0.326 6.093
1.780 4.412 0.949
3.671 -2.464 4.567
1.856 -1.246 2.309


No. 16
PBE Er4TlIr2, relaxed; DFT formation energy = -0.615 eV/atom; symmetry = R-3m; VASP energy = -6.09 eV per atom; E above lowest polymorph = 0 meV per atom
1.0
4.410 0.000 0.000
2.205 3.819 0.000
2.205 1.273 10.973
Er Tl Ir
4 1 2
Cartesian
4.410 2.546 8.925
2.205 1.273 4.421
6.615 3.819 6.552
4.410 2.546 2.048
0.000 0.000 0.000
2.205 1.273 7.630
6.615 3.819 3.344


No. 17
PBE Er4TlIr, relaxed; DFT formation energy = -0.552 eV/atom; symmetry = F-43m; VASP energy = -5.47 eV per atom; E above lowest polymorph = 0 meV per atom
1.0
8.312 0.000 4.799
2.771 7.836 4.799
0.000 0.000 9.598
Er Tl Ir
16 4 4
Cartesian
4.441 3.140 7.692
7.741 3.140 9.598
5.541 6.252 9.598
4.441 3.140 11.503
6.196 4.381 14.396
10.427 7.373 14.396
7.254 7.373 12.564
9.370 4.381 16.229
9.370 4.381 12.564
7.254 7.373 16.229
2.116 1.496 9.598
8.967 6.340 9.598
3.829 6.340 6.631
7.254 1.496 12.564
7.254 1.496 6.631
3.829 6.340 12.564
1.814 1.283 3.143
4.683 1.283 4.799
2.771 3.988 4.799
1.814 1.283 6.455
6.746 4.770 11.685
3.131 4.770 9.598
5.541 1.362 9.598
6.746 4.770 7.510


No. 18
PBE Er6Tl3Ir, relaxed; DFT formation energy = -0.272 eV/atom; symmetry = C2/m; VASP energy = -4.61 eV per atom
1.0
7.185 -1.276 -0.901
2.471 6.282 0.077
2.471 2.172 5.895
Er Tl Ir
6 3 1
Cartesian
4.370 1.814 3.489
7.756 3.284 4.527
7.756 5.364 1.582
4.370 3.894 0.544
4.370 5.433 3.838
7.756 1.745 1.233
2.819 1.111 0.784
9.307 6.068 4.287
0.000 0.000 0.000
6.063 3.589 2.536


No. 19
PBE Er11Tl9Ir4, relaxed; DFT formation energy = -0.536 eV/atom; symmetry = Cmmm; VASP energy = -4.99 eV per atom
1.0
3.688 0.000 0.000
0.000 12.131 -5.100
0.000 0.078 13.160
Er Tl Ir
11 9 4
Cartesian
0.000 7.132 9.083
0.000 5.077 -1.023
0.000 11.155 2.989
0.000 1.054 5.071
0.000 7.622 1.732
0.000 4.588 6.328
0.000 10.167 -2.124
0.000 2.042 10.184
0.000 0.000 0.000
0.000 8.399 5.544
0.000 3.810 2.515
1.844 7.674 -1.245
1.844 4.535 9.304
1.844 1.871 7.546
1.844 10.338 0.514
1.844 9.595 8.264
1.844 2.614 -0.205
1.844 11.370 5.575
1.844 0.839 2.484
1.844 6.105 4.030
1.844 6.730 7.072
1.844 5.480 0.988
1.844 9.147 3.409
1.844 3.062 4.651


No. 20
PBE ErTlIr4, relaxed; DFT formation energy = -0.232 eV/atom; symmetry = F-43m; VASP energy = -7.29 eV per atom
1.0
-4.147 0.548 -3.312
-1.548 -4.104 -3.038
-4.595 -2.506 1.040
Tl Ir Er
1 4 1
Cartesian
0.000 0.000 0.000
-4.133 -2.535 -3.841
-5.658 -1.735 -1.798
-6.433 -3.790 -3.320
-4.357 -4.064 -1.661
-2.573 -1.515 -1.328